{
  "formula": "KMoO3",
  "functional": "PBE with a Hubbard U",
  "state": "optimized geometry",
  "cell": [[-3.7475, 4.8920, -2.3022], [-6.1375, -2.4643, 1.5399], [-4.6365, 4.0551, 2.8566]],
  "species": ["K", "K", "Mo", "Mo", "O", "O", "O", "O", "O", "O"],
  "fractional_positions": [[0.4735, 0.2131, 0.0770], [0.7204, 0.9561, 0.5730], [0.8807, 0.6424, 0.0991], [0.3131, 0.5268, 0.5510], [0.0968, 0.4050, 0.0046], [0.5968, 0.3633, 0.5463], [0.5969, 0.8058, 0.1037], [0.0390, 0.8135, 0.1119], [0.1546, 0.3556, 0.5382], [0.0971, 0.7642, 0.6454]],
  "e_tot_ev_per_atom": -6.320
}